<A>
Entry from Alexandria: a geometry-optimized Nd2SmI structure (PBE).

Results
* DOS at the Fermi energy: 3.65 states/eV per cell
* magnetic moment: 0.00 μB per formula unit
* calculated density: 6.85 Mg/m³

a = 3.822 Å, b = 3.822 Å, c = 11.066 Å
α = 80.06°, β = 80.06°, γ = 60.00°
Sites, in units of the cell vectors:
Sm (0.500, 0.500, 0.500)
I (0.000, 0.000, 0.000)
Nd (0.255, 0.255, 0.235)
Nd (0.745, 0.745, 0.765)

***

<B>
Entry from Alexandria: a geometry-optimized Nd2SmI structure (PBE).

Results
* DOS at the Fermi energy: 5.80 states/eV per cell
* magnetic moment: 0.58 μB per formula unit
* calculated density: 6.78 Mg/m³

a = 3.847 Å, b = 3.847 Å, c = 11.039 Å
α = 79.97°, β = 79.97°, γ = 60.00°
Sites, in units of the cell vectors:
Nd (0.078, 0.078, 0.765)
I (0.667, 0.667, 0.000)
Nd (0.255, 0.255, 0.234)
Sm (0.500, 0.500, 0.501)

***

<C>
Entry from Alexandria: a geometry-optimized Nd2SmI structure (PBE).

Results
* DOS at the Fermi energy: 4.02 states/eV per cell
* magnetic moment: 0.00 μB per formula unit
* calculated density: 6.90 Mg/m³

a = 3.725 Å, b = 3.725 Å, c = 9.809 Å
α = 90.00°, β = 90.00°, γ = 90.00°
Sites, in units of the cell vectors:
Nd (0.000, 0.000, 0.741)
Nd (0.000, 0.000, 0.259)
Sm (0.500, 0.500, 0.000)
I (0.500, 0.500, 0.500)

***

The structure with the least stability is <C>.

***

<A>
Entry from Alexandria: a geometry-optimized Sr2NdI structure (PBE).

Results
* DOS at the Fermi energy: 5.10 states/eV per cell
* magnetic moment: 0.38 μB per formula unit
* calculated density: 4.26 Mg/m³

a = 3.996 Å, b = 3.996 Å, c = 12.799 Å
α = 81.02°, β = 81.02°, γ = 60.00°
Sites, in units of the cell vectors:
Sr (0.099, 0.099, 0.704)
I (0.500, 0.500, 0.500)
Nd (0.000, 0.000, 0.000)
Sr (0.901, 0.901, 0.296)

***

<B>
Entry from Alexandria: a geometry-optimized Sr2NdI structure (PBE).

Results
* DOS at the Fermi energy: 4.53 states/eV per cell
* magnetic moment: 0.01 μB per formula unit
* calculated density: 4.46 Mg/m³

a = 3.955 Å, b = 3.955 Å, c = 10.635 Å
α = 90.00°, β = 90.00°, γ = 90.00°
Sites, in units of the cell vectors:
Nd (0.500, 0.500, 0.000)
I (0.500, 0.500, 0.500)
Sr (0.000, 0.000, 0.268)
Sr (0.000, 0.000, 0.732)

***

The structure with the least stability is <A>.

***

<A>
Entry from Alexandria: a geometry-optimized TbNd2I structure (PBE).

Results
* DOS at the Fermi energy: 4.11 states/eV per cell
* magnetic moment: 0.00 μB per formula unit
* calculated density: 7.03 Mg/m³

a = 3.803 Å, b = 3.803 Å, c = 11.052 Å
α = 80.09°, β = 80.09°, γ = 60.00°
Sites, in units of the cell vectors:
Nd (0.255, 0.255, 0.236)
Tb (0.500, 0.500, 0.500)
I (0.000, 0.000, 0.000)
Nd (0.745, 0.745, 0.764)

***

<B>
Entry from Alexandria: a geometry-optimized TbNd2I structure (PBE).

Results
* DOS at the Fermi energy: 3.75 states/eV per cell
* magnetic moment: 0.00 μB per formula unit
* calculated density: 7.11 Mg/m³

a = 3.712 Å, b = 3.712 Å, c = 9.744 Å
α = 90.00°, β = 90.00°, γ = 90.00°
Sites, in units of the cell vectors:
I (0.500, 0.500, 0.500)
Nd (0.000, 0.000, 0.742)
Tb (0.500, 0.500, 0.000)
Nd (0.000, 0.000, 0.258)

***

The structure with the least stability is <B>.